AlFe2BiF | GGA+U | relaxed

Output
Space-group type = No. 123
N(E_F) = 1.98 states/eV per cell
Uncorrected energy = -4.017 eV/atom

a b c (Å): 4.2929 4.2929 5.4568
angles (deg): 90.00 90.00 90.00
Last column: nearest neighbours and their distance in Å.
Positions (direct):
Al 0.0000 0.0000 0.0000  4 Bi 3.04
Fe 0.0000 0.5000 0.5000  2 F 2.15
Fe 0.5000 0.0000 0.5000  2 F 2.15
Bi 0.5000 0.5000 0.0000  2 F 2.73, 4 Al 3.04
F 0.5000 0.5000 0.5000  4 Fe 2.15